YMn3Tc: optimized geometry, PBE-GGA.

Summary:
The value obtained for the formation energy is 12.76 eV per formula unit. The total energy comes out at -6.316 eV per atom. The energy relative to the lowest polymorph listed for this composition comes out at 1860 meV per atom. The density of states at the Fermi level comes out at 16.74 states/eV per cell.

abc: 4.3859 4.3859 4.3859
angles: 90.00 90.00 90.00
Space group Pm-3m (No. 221)
One atom of each set of equivalent atoms:
Y1 0.0000 0.0000 0.0000 [1 per cell]
Mn1 0.0000 0.0000 0.5000 [3 per cell]
Tc1 0.5000 0.5000 0.5000 [1 per cell]

---

Sc4MoCl: optimized geometry, PBE-GGA.

Summary:
As for the energy relative to the elements, uncorrected: 0.653 eV/atom. The total energy comes out at -5.681 eV per atom. The density of states at the Fermi level comes out at 26.51 states/eV per cell.

abc: 8.1439 8.1439 8.1439
angles: 90.00 90.00 90.00
Space group F-43m (No. 216)
One atom of each set of equivalent atoms:
Sc1 0.1212 0.1212 0.3788 [16 per cell]
Mo1 0.2500 0.2500 0.7500 [4 per cell]
Cl1 0.0000 0.0000 0.0000 [4 per cell]

---

CsAlTe3: optimized geometry, PBE-GGA.

Summary:
As for the energy relative to the elements, uncorrected: -0.311 eV/atom. The total energy comes out at -3.116 eV per atom. The energy relative to the lowest polymorph listed for this composition comes out at 353 meV per atom. The density of states at the Fermi level comes out at 5.80 states/eV per cell.

abc: 5.5937 5.5937 5.5937
angles: 90.00 90.00 90.00
Space group Pm-3m (No. 221)
One atom of each set of equivalent atoms:
Cs1 0.0000 0.0000 0.0000 [1 per cell]
Al1 0.5000 0.5000 0.5000 [1 per cell]
Te1 0.0000 0.5000 0.5000 [3 per cell]

---

Ga3ReP: optimized geometry, PBE-GGA.

Summary:
The value obtained for the formation energy is 6.19 eV per formula unit. The total energy comes out at -4.149 eV per atom. The energy relative to the lowest polymorph listed for this composition comes out at 463 meV per atom. The density of states at the Fermi level comes out at 6.04 states/eV per cell.

abc: 4.5741 4.5741 4.5741
angles: 90.00 90.00 90.00
Space group Pm-3m (No. 221)
One atom of each set of equivalent atoms:
Ga1 0.0000 0.0000 0.5000 [3 per cell]
Re1 0.5000 0.5000 0.5000 [1 per cell]
P1 0.0000 0.0000 0.0000 [1 per cell]

---

Ag3BRh: optimized geometry, PBE-GGA.

Summary:
The value obtained for the formation energy is 3.40 eV per formula unit. The total energy comes out at -3.836 eV per atom. The energy relative to the lowest polymorph listed for this composition comes out at 0 meV per atom. The density of states at the Fermi level comes out at 4.33 states/eV per cell.

abc: 4.2993 4.2993 4.2993
angles: 90.00 90.00 90.00
Space group Pm-3m (No. 221)
One atom of each set of equivalent atoms:
Ag1 0.0000 0.0000 0.5000 [3 per cell]
B1 0.0000 0.0000 0.0000 [1 per cell]
Rh1 0.5000 0.5000 0.5000 [1 per cell]

---

La9HoSn2: optimized geometry, PBE-GGA.

Summary:
The value obtained for the formation energy is -3.64 eV per formula unit. The total energy comes out at -5.047 eV per atom. The density of states at the Fermi level comes out at 15.90 states/eV per cell.

abc: 5.0682 5.0682 15.4556
angles: 90.00 90.00 90.00
Space group P4/mmm (No. 123)
One atom of each set of equivalent atoms:
La1 0.0000 0.0000 0.0000 [1 per cell]
La2 0.0000 0.0000 0.3375 [2 per cell]
La3 0.0000 0.5000 0.1740 [4 per cell]
La4 0.0000 0.5000 0.5000 [2 per cell]
Ho1 0.5000 0.5000 0.0000 [1 per cell]
Sn1 0.5000 0.5000 0.3375 [2 per cell]

---

Please write out number 4 again, unchanged.
Ga3ReP: optimized geometry, PBE-GGA.

Summary:
The value obtained for the formation energy is 6.19 eV per formula unit. The total energy comes out at -4.149 eV per atom. The energy relative to the lowest polymorph listed for this composition comes out at 463 meV per atom. The density of states at the Fermi level comes out at 6.04 states/eV per cell.

abc: 4.5741 4.5741 4.5741
angles: 90.00 90.00 90.00
Space group Pm-3m (No. 221)
One atom of each set of equivalent atoms:
Ga1 0.0000 0.0000 0.5000 [3 per cell]
Re1 0.5000 0.5000 0.5000 [1 per cell]
P1 0.0000 0.0000 0.0000 [1 per cell]